# 1
First-principles (PBE) data for K2CaSi2O6 after structural relaxation, as listed in Alexandria via LeMat-Bulk.

Unit cell a=5.915 b=5.888 c=6.919 alpha=113.26 beta=90.00 gamma=120.15
Positions (direct):
O  0.771  0.005  0.251
O  0.234  0.005  0.251
O  0.756  0.512  0.723
O  0.766  0.995  0.749
O  0.244  0.488  0.277
O  0.229  0.995  0.749
Si  0.915  0.831  0.737
Si  0.085  0.169  0.263
K  0.701  0.401  0.106
K  0.299  0.599  0.894
Ca  0.500  0.000  0.500

ΔE_f (raw): -2419.2 meV per atom
symmetry: No. 12



# 2
First-principles (PBE) data for LiLuZrMn after structural relaxation, as listed in Alexandria via LeMat-Bulk.

Unit cell a=4.710 b=4.710 c=4.710 alpha=60.00 beta=60.00 gamma=60.00
Positions (direct):
Li  0.000  0.000  0.000
Lu  0.750  0.750  0.750
Zr  0.250  0.250  0.250
Mn  0.500  0.500  0.500

symmetry: No. 216
energy relative to the elements: 0.113 eV per atom



# 3
First-principles (PBE) data for K2MnBr4 after structural relaxation, as listed in Alexandria via LeMat-Bulk.

Unit cell a=7.583 b=7.655 c=9.213 alpha=90.00 beta=108.13 gamma=90.00
Positions (direct):
K  0.237  0.250  0.434
K  0.763  0.750  0.566
K  0.286  0.250  0.948
K  0.714  0.750  0.052
Br  0.510  0.000  0.742
Br  0.929  0.250  0.629
Br  0.084  0.750  0.922
Br  0.916  0.250  0.078
Br  0.490  0.500  0.258
Br  0.071  0.750  0.371
Br  0.510  0.500  0.742
Br  0.490  0.000  0.258
Mn  0.734  0.250  0.802
Mn  0.266  0.750  0.198

ΔE_f (raw): -1353.2 meV per atom
E above lowest polymorph: 0 meV per atom
symmetry: No. 11



Number 1: DOS(E_F) 0.0 states/eV/cell. Number 2: DOS(E_F) 4.3 states/eV/cell. Number 3: DOS(E_F) 0.0 states/eV/cell.